A relaxed TiPbS2 crystal. Source: Alexandria, functional GGA-PBE.

Uncorrected formation energy in meV/atom: -743.2
Uncorrected energy in eV/atom: -5.708

a = 10.496 Å, b = 10.202 Å, c = 15.268 Å
α = 90.00°, β = 99.58°, γ = 90.00°
Space group C2/c (No. 15)
One atom of each set of equivalent atoms:
Ti 0.073 0.182 0.171 [8 per cell]
Ti 0.151 0.403 0.323 [8 per cell]
Pb 0.006 0.162 0.909 [8 per cell]
Pb 0.230 0.388 0.657 [8 per cell]
S 0.000 0.005 0.250 [4 per cell]
S 0.000 0.443 0.750 [4 per cell]
S 0.050 0.315 0.436 [8 per cell]
S 0.181 0.025 0.083 [8 per cell]
S 0.247 0.186 0.792 [8 per cell]


A relaxed K4IrPt crystal. Source: Alexandria, functional GGA-PBE.

Uncorrected energy in eV/atom: -2.188
E_form in meV per atom: 1027

a = 8.693 Å, b = 8.693 Å, c = 8.693 Å
α = 90.00°, β = 90.00°, γ = 90.00°
Space group F-43m (No. 216)
One atom of each set of equivalent atoms:
K 0.125 0.125 0.125 [16 per cell]
Ir 0.000 0.000 0.500 [4 per cell]
Pt 0.250 0.250 0.750 [4 per cell]


A relaxed CrCu2Ir crystal. Source: Alexandria, functional GGA-PBE.

Uncorrected energy in eV/atom: -6.348
E_form in meV per atom: 322

a = 2.736 Å, b = 4.318 Å, c = 8.788 Å
α = 90.00°, β = 90.00°, γ = 90.00°
Space group Cmmm (No. 65)
One atom of each set of equivalent atoms:
Cr 0.000 0.000 0.000 [2 per cell]
Cu 0.000 0.500 0.242 [4 per cell]
Ir 0.000 0.000 0.500 [2 per cell]


A relaxed Ho6In2Ni crystal. Source: Alexandria, functional GGA-PBE.

Uncorrected energy in eV/atom: -4.632
E_form in meV per atom: -329
Offset from the most stable computed form in meV/atom: 0

a = 3.685 Å, b = 15.097 Å, c = 8.720 Å
α = 90.00°, β = 90.00°, γ = 90.00°
Space group Amm2 (No. 38)
One atom of each set of equivalent atoms:
Ho 0.000 0.000 0.000 [2 per cell]
Ho 0.000 0.118 0.646 [4 per cell]
Ho 0.500 0.000 0.366 [2 per cell]
Ho 0.500 0.199 0.963 [4 per cell]
In 0.000 0.167 0.264 [4 per cell]
Ni 0.500 0.000 0.764 [2 per cell]


A relaxed YThHgGe crystal. Source: Alexandria, functional GGA-PBE.

Uncorrected energy in eV/atom: -5.146
E_form in meV per atom: -446

a = 7.429 Å, b = 7.429 Å, c = 7.429 Å
α = 90.00°, β = 90.00°, γ = 90.00°
Space group F-43m (No. 216)
One atom of each set of equivalent atoms:
Y 0.000 0.000 0.000 [4 per cell]
Th 0.000 0.000 0.500 [4 per cell]
Hg 0.250 0.250 0.250 [4 per cell]
Ge 0.250 0.250 0.750 [4 per cell]


A relaxed TaZnSn crystal. Source: Alexandria, functional GGA-PBE.

Uncorrected energy in eV/atom: -5.413
E_form in meV per atom: 297

a = 4.7267 Å, b = 4.7267 Å, c = 2.8565 Å
α = 90.00°, β = 90.00°, γ = 120.00°
Space group P-6m2 (No. 187)
One atom of each set of equivalent atoms:
Ta 0.0000 0.0000 0.0000 [1 per cell]
Zn 0.3333 0.6667 0.5000 [1 per cell]
Sn 0.6667 0.3333 0.5000 [1 per cell]


no.,volume (Å³ per cell),density (g cm⁻³),DOS at the Fermi energy (states/eV/f.u.)
1,1612,5.26,2.52
2,657,5.50,10.31
3,104,11.88,4.28
4,485,8.75,11.15
5,410,9.63,3.31
6,55,10.97,2.44